Entry 1:
Material: AcTb3Ag2
Method: DFT, PBE
State: optimized geometry

Cell: 16.5393 5.3924 8.8832 Å, 90.00 116.89 90.00°
Space group C2/m (No. 12)
Inequivalent atoms, fractional coordinates:
Ac  0.1335  0.0000  0.1936 x4
Tb  0.0641  0.0000  0.7211 x4
Tb  0.1165  0.5000  0.5182 x4
Tb  0.1968  0.5000  0.9946 x4
Ag  0.0014  0.5000  0.8439 x4
Ag  0.2226  0.0000  0.6140 x4

Values from the calculation:
density of states at the Fermi level	26.123	states/eV per cell
distance to the lowest polymorph of the same formula	51	meV per atom
formation energy	-0.123	eV per atom

Entry 2:
Material: PrZn2GeN4
Method: DFT, PBE
State: optimized geometry

Cell: 5.3837 5.3837 7.1420 Å, 90.00 90.00 90.00°
Space group I-42m (No. 121)
Inequivalent atoms, fractional coordinates:
Pr  0.0000  0.0000  0.0000 x2
Zn  0.0000  0.5000  0.2500 x4
Ge  0.0000  0.0000  0.5000 x2
N  0.2037  0.2037  0.6469 x8

Values from the calculation:
density of states at the Fermi level	10.420	states/eV per cell
uncorrected formation energy	-258	meV/atom